Compound: Si2TcPb
Source: Alexandria via LeMat-Bulk
Functional: SCAN
Structure: single point on PBEsol structure

Summary:
D(E_F), states/eV per cell: 1.96
Uncorrected energy, eV per atom: -31.955
Raw formation energy, eV/atom: 0.764

The structure in CIF format:
```
data_Si2TcPb
_chemical_formula_sum 'Si2 Tc1 Pb1'
_space_group_name_H-M_alt 'P 1'
_space_group_IT_number 1
_space_group_name_Hall 'P 1'
_cell_length_a 3.283
_cell_length_b 4.634
_cell_length_c 4.634
_cell_angle_alpha 108.84
_cell_angle_beta 90.00
_cell_angle_gamma 90.00
loop_
_atom_site_label
_atom_site_type_symbol
_atom_site_fract_x
_atom_site_fract_y
_atom_site_fract_z
Pb1 Pb 0.500 0.500 0.500
Si1 Si 0.000 0.000 0.500
Tc1 Tc 0.500 0.000 0.000
Si2 Si 0.000 0.500 0.000
```